## DyEr6Sc2 (PBE-GGA)

Data for an optimized crystal structure of DyEr6Sc2.

Output
E: -4.827 eV/atom
N(E_F): 9.644 states/eV/f.u.
E above lowest polymorph: 0 meV per atom
ΔH_f (0 K): 0.13 eV per atom

abc: 6.4562 9.2224 9.2224
angles: 88.35 80.02 80.02
Fractional positions:
Dy 0.2500 0.1401 0.8599
Dy 0.7500 0.8599 0.1401
Er 0.4985 0.6198 0.3274
Er 0.0015 0.6726 0.3802
Er 0.5015 0.3802 0.6726
Er 0.9985 0.3274 0.6198
Er 0.7371 0.0500 0.4614
Er 0.7629 0.5386 0.9500
Er 0.2629 0.9500 0.5386
Er 0.2371 0.4614 0.0500
Er 0.3177 0.7934 0.9632
Er 0.1823 0.0368 0.2066
Er 0.6823 0.2066 0.0368
Er 0.8177 0.9632 0.7934
Sc 0.1272 0.6499 0.7078
Sc 0.3728 0.2922 0.3501
Sc 0.8728 0.3501 0.2922
Sc 0.6272 0.7078 0.6499